No. 1
Material: CePRu2C
Method: DFT, PBE-GGA
State: optimized geometry

The calculation puts the total magnetic moment at 1.35 μB/cell. The calculated volume comes out at 15.201 Å³ per atom. The value obtained for the calculated formation energy is -646 meV/atom. The value obtained for the energy is -169.39 eV per cell.

It has space group Cmcm (No. 63), with a = 3.862 Å, b = 11.107 Å, c = 7.088 Å, α = 90.00°, β = 90.00° and γ = 90.00°. Symmetry generates all atoms from Ce at (0.000, 0.049, 0.250), P at (0.000, 0.228, 0.750), Ru at (0.000, 0.333, 0.054) and C at (0.000, 0.500, 0.000).

---

No. 2
Material: Ce5Sb2PC
Method: DFT, PBE-GGA
State: optimized geometry

The calculation puts the total magnetic moment at 3.62 μB/cell. For the uncorrected formation energy, the calculation gives -0.756 eV/atom. The calculated volume comes out at 27.341 Å³ per atom. The value obtained for the energy is -59.35 eV per cell.

It has space group P4/mmm (No. 123), with a = 4.670 Å, b = 4.670 Å, c = 11.281 Å, α = 90.00°, β = 90.00° and γ = 90.00°. Symmetry generates all atoms from Ce at (0.000, 0.000, 0.000), Ce at (0.000, 0.500, 0.500), Ce at (0.500, 0.500, 0.251), Sb at (0.000, 0.000, 0.288), P at (0.500, 0.500, 0.000) and C at (0.500, 0.500, 0.500).

---

No. 3
Material: Ce2Tc2P2C
Method: DFT, PBE-GGA
State: optimized geometry

The calculation puts the total magnetic moment at 1.95 μB/cell. The calculated volume comes out at 17.719 Å³ per atom. The value obtained for the calculated formation energy is -870 meV/atom. The value obtained for the energy is -117.46 eV per cell.

It has space group C2/m (No. 12), with a = 11.181 Å, b = 3.993 Å, c = 6.760 Å, α = 90.00°, β = 124.73° and γ = 90.00°. Symmetry generates all atoms from Ce at (0.062, 0.000, 0.308), Tc at (0.198, 0.500, 0.088), P at (0.181, 0.500, 0.716) and C at (0.000, 0.500, 0.000).

---

No. 4
Material: Ce2PaC2
Method: DFT, PBE-GGA
State: optimized geometry

The calculation puts the total magnetic moment at 3.84 μB/cell. The calculated volume comes out at 20.382 Å³ per atom. The value obtained for the calculated formation energy is -258 meV/atom. The value obtained for the energy is -123.31 eV per cell.

It has space group R-3m (No. 166, hexagonal axes), with a = 3.5608 Å, b = 3.5608 Å, c = 27.8431 Å, α = 90.00°, β = 90.00° and γ = 120.00°. Symmetry generates all atoms from Ce at (0.0000, 0.0000, 0.2294), Pa at (0.0000, 0.0000, 0.0000) and C at (0.0000, 0.0000, 0.3865).

---

- What is the formula in the fourth record?
  Ce2PaC2